1.
VASP calculation (meta-GGA SCAN) on a crystal of Be2SbAu2 relaxed with PBEsol.

The structure in POSCAR format:
```
Be2SbAu2
1.0
2.9136 0.0000 0.0000
0.0000 7.2858 0.0000
0.0000 0.0000 7.2858
Be Sb Au
4 2 4
Cartesian
0.0000 4.6452 1.0023
0.0000 1.0023 2.6406
0.0000 2.6406 6.2835
0.0000 6.2835 4.6452
0.0000 0.0000 0.0000
0.0000 3.6429 3.6429
1.4568 2.6006 1.0423
1.4568 6.2435 2.6006
1.4568 4.6852 6.2435
1.4568 1.0423 4.6852
```

Properties
* crystal system: tetragonal
* uncorrected formation energy: 7.30 kJ/mol of atoms
* distance to the lowest polymorph of the same formula: 1.21 eV per formula unit
* symmetry: P4/mbm (127)
* Fermi-level density of states: 3.73 states/eV/cell

---

2.
VASP calculation (meta-GGA SCAN) on a crystal of CsErTa6Br18 relaxed with PBEsol.

The structure in POSCAR format:
```
CsErTa6Br18
1.0
9.6531 0.0000 0.0000
-4.8265 8.3598 0.0000
0.0000 0.0000 17.9780
Br Ta Cs Er
36 12 2 2
Cartesian
4.1388 6.3966 6.0740
6.1768 4.6139 15.0760
0.6878 1.9632 11.9040
6.9361 2.3446 0.0110
1.3563 1.5773 2.9150
1.4376 7.1791 17.9670
3.4702 6.7826 15.0630
5.7339 0.7036 15.0760
3.9192 0.7036 11.8909
-3.4702 6.7826 11.9040
5.4985 4.8346 8.9780
8.2968 1.5773 6.0740
2.7170 2.3446 8.9780
2.2576 5.3175 2.9020
-2.7824 7.9738 15.0630
3.4763 4.6139 11.8909
7.6090 0.3860 2.9150
2.5689 3.0423 15.0760
4.1546 4.8346 0.0110
2.0441 0.3860 6.0740
2.1095 6.0153 9.0000
2.7824 7.9738 11.9040
6.2641 1.1807 8.9780
0.6719 3.5253 17.9670
-1.4376 7.1791 9.0000
7.0842 3.0423 11.8909
-2.2576 5.3175 6.0870
-2.1095 6.0153 17.9670
-0.6878 1.9632 15.0630
-0.6719 3.5253 9.0000
-0.9074 7.6562 2.9020
3.3889 1.1807 0.0110
1.3503 3.7459 6.0870
0.9074 7.6562 6.0870
5.5143 6.3966 2.9150
-1.3503 3.7459 2.9020
0.5409 1.5753 7.8140
-3.7327 7.1037 7.8140
-3.1918 8.0406 1.1750
8.5593 1.2561 10.1640
-0.5409 1.5753 1.1750
3.7327 7.1037 1.1750
3.1918 8.0406 7.8140
8.0183 0.3192 16.8030
1.0938 1.2561 16.8030
1.6348 0.3192 10.1640
5.3675 6.7845 16.8030
4.2856 6.7845 10.1640
0.0000 5.5732 13.4835
4.8266 2.7866 4.4945
4.8266 2.7866 13.4835
0.0000 5.5732 4.4945
```

Properties
* crystal system: trigonal
* uncorrected formation energy: -117.48 kJ/mol of atoms
* symmetry: P-31c (163)

---

3.
VASP calculation (meta-GGA SCAN) on a crystal of LiGeP2S relaxed with PBEsol.

The structure in POSCAR format:
```
LiGeP2S
1.0
-3.7847 -2.0572 -1.8508
-1.3023 -1.4426 4.2667
-2.5016 4.0556 0.6076
Li P S Ge
1 2 1 1
Cartesian
-3.7943 0.2779 1.5118
-1.8923 -1.0286 -0.9254
-0.6512 -0.7213 2.1333
-1.2508 2.0278 0.3038
0.0000 0.0000 0.0000
```

Properties
* crystal system: tetragonal
* uncorrected formation energy: 55.10 kJ/mol of atoms
* symmetry: P4/mmm (123)
* Fermi-level density of states: 2.98 states/eV/cell

---

4.
VASP calculation (meta-GGA SCAN) on a crystal of SbWCl3 relaxed with PBEsol.

The structure in POSCAR format:
```
SbWCl3
1.0
-3.7658 0.0643 2.8736
-0.8970 -4.5259 -1.0743
2.7307 -1.3981 3.6099
Cl Sb W
3 1 1
Cartesian
-0.4485 -2.2630 -0.5372
-1.8829 0.0321 1.4368
1.3654 -0.6990 1.8049
-0.9661 -2.9299 2.7046
0.0000 0.0000 0.0000
```

Properties
* crystal system: cubic
* uncorrected formation energy: 42.92 kJ/mol of atoms
* symmetry: Pm-3m (221)
* Fermi-level density of states: 3.73 states/eV/cell